No. 1
Material: Pm2TmSn6
Method: DFT, GGA-PBE
State: optimized geometry Values from VASP.

Geometry as Quantum ESPRESSO input:
```
&SYSTEM
  ibrav = 0, nat = 9, ntyp = 3
/
ATOMIC_SPECIES
Pm 145.00 Pm.upf
Tm 168.93 Tm.upf
Sn 118.71 Sn.upf
CELL_PARAMETERS angstrom
8.802 -3.433 0.000
8.802 3.433 0.000
-1.142 0.000 4.340
ATOMIC_POSITIONS angstrom
Pm 0.000 0.000 0.000
Pm 3.765 0.000 0.990
Tm 11.705 0.000 0.759
Sn 4.454 1.972 3.497
Sn 6.957 1.455 1.832
Sn 10.022 1.861 2.640
Sn 4.454 -1.972 3.497
Sn 6.957 -1.455 1.832
Sn 10.022 -1.861 2.640
```

Computed properties:
DFT total energy: -4.684 eV per atom
DFT formation energy: -463 meV per atom
Crystal system: monoclinic

No. 2
Material: Pm4TmSn
Method: DFT, GGA-PBE
State: optimized geometry Values from VASP.

Geometry as Quantum ESPRESSO input:
```
&SYSTEM
  ibrav = 0, nat = 12, ntyp = 3
/
ATOMIC_SPECIES
Pm 145.00 Pm.upf
Tm 168.93 Tm.upf
Sn 118.71 Sn.upf
CELL_PARAMETERS angstrom
2.506 -13.010 0.000
2.506 13.010 0.000
0.000 0.000 6.288
ATOMIC_POSITIONS angstrom
Pm 2.506 12.357 3.144
Pm 2.506 8.363 3.214
Pm 2.506 7.076 0.199
Pm 2.506 2.863 5.039
Pm 2.506 -2.863 1.895
Pm 2.506 -7.076 3.343
Pm 2.506 -8.363 0.071
Pm 2.506 -12.357 0.000
Tm 2.506 10.416 5.871
Tm 2.506 -10.416 2.727
Sn 2.506 4.272 1.995
Sn 2.506 -4.272 5.138
```

Computed properties:
DFT total energy: -4.531 eV per atom
DFT formation energy: 49 meV per atom
Crystal system: orthorhombic

No. 3
Material: PmTm5Sn2
Method: DFT, GGA-PBE
State: optimized geometry Values from VASP.

Geometry as Quantum ESPRESSO input:
```
&SYSTEM
  ibrav = 0, nat = 8, ntyp = 3
/
ATOMIC_SPECIES
Pm 145.00 Pm.upf
Tm 168.93 Tm.upf
Sn 118.71 Sn.upf
CELL_PARAMETERS angstrom
-2.254 4.771 5.622
2.254 -4.771 5.622
2.254 4.771 -5.622
ATOMIC_POSITIONS angstrom
Pm 0.000 0.000 0.000
Tm 2.254 2.991 -1.720
Tm 2.254 2.991 1.720
Tm 0.000 4.771 0.000
Tm 0.000 1.781 3.902
Tm 0.000 1.781 7.343
Sn 2.254 0.000 2.440
Sn 0.000 4.771 3.182
```

Computed properties:
DFT total energy: -4.676 eV per atom
DFT formation energy: -287 meV per atom
Crystal system: orthorhombic

No. 4
Material: Pm3Tm2Sn
Method: DFT, GGA-PBE
State: optimized geometry Values from VASP.

Geometry as Quantum ESPRESSO input:
```
&SYSTEM
  ibrav = 0, nat = 12, ntyp = 3
/
ATOMIC_SPECIES
Pm 145.00 Pm.upf
Tm 168.93 Tm.upf
Sn 118.71 Sn.upf
CELL_PARAMETERS angstrom
8.525 0.000 0.000
0.000 3.582 0.000
-0.260 0.000 12.299
ATOMIC_POSITIONS angstrom
Pm 0.658 0.895 1.343
Pm 2.747 2.686 6.820
Pm 3.291 2.686 3.069
Pm 4.973 0.895 9.230
Pm 5.517 0.895 5.479
Pm 7.607 2.686 10.957
Tm 0.463 0.895 4.726
Tm 2.713 2.686 11.569
Tm 5.551 0.895 0.731
Tm 7.802 2.686 7.573
Sn 1.445 0.895 9.263
Sn 6.819 2.686 3.036
```

Computed properties:
DFT total energy: -4.734 eV per atom
DFT formation energy: -201 meV per atom
Crystal system: monoclinic

No. 5
Material: PmTmSn3
Method: DFT, GGA-PBE
State: optimized geometry Values from VASP.

Geometry as Quantum ESPRESSO input:
```
&SYSTEM
  ibrav = 0, nat = 10, ntyp = 3
/
ATOMIC_SPECIES
Pm 145.00 Pm.upf
Tm 168.93 Tm.upf
Sn 118.71 Sn.upf
CELL_PARAMETERS angstrom
4.371 0.000 0.000
0.000 6.559 0.000
0.000 0.000 9.933
ATOMIC_POSITIONS angstrom
Pm 1.093 1.640 1.152
Pm 3.278 4.919 8.781
Tm 1.093 4.919 4.500
Tm 3.278 1.640 5.433
Sn 1.093 0.041 7.085
Sn 1.093 3.238 7.085
Sn 1.093 4.919 1.306
Sn 3.278 1.640 8.627
Sn 3.278 3.321 2.848
Sn 3.278 6.518 2.848
```

Computed properties:
DFT total energy: -4.757 eV per atom
DFT formation energy: -511 meV per atom
Crystal system: orthorhombic

No. 6
Material: Pm3Tm2Sn7
Method: DFT, GGA-PBE
State: optimized geometry Values from VASP.

Geometry as Quantum ESPRESSO input:
```
&SYSTEM
  ibrav = 0, nat = 12, ntyp = 3
/
ATOMIC_SPECIES
Pm 145.00 Pm.upf
Tm 168.93 Tm.upf
Sn 118.71 Sn.upf
CELL_PARAMETERS angstrom
2.885 -10.927 0.000
2.885 10.927 0.000
0.000 0.000 5.744
ATOMIC_POSITIONS angstrom
Pm 0.000 0.000 0.000
Pm 2.885 7.435 0.000
Pm 2.885 -7.435 0.000
Tm 2.885 3.068 2.872
Tm 2.885 -3.068 2.872
Sn 2.885 9.232 2.872
Sn 2.885 6.139 2.872
Sn 2.885 1.780 0.000
Sn 2.885 0.000 2.872
Sn 2.885 -1.780 0.000
Sn 2.885 -6.139 2.872
Sn 2.885 -9.232 2.872
```

Computed properties:
DFT total energy: -4.629 eV per atom
DFT formation energy: -361 meV per atom
Crystal system: orthorhombic

No. 7
Material: Pm3Tm2Sn3
Method: DFT, GGA-PBE
State: optimized geometry Values from VASP.

Geometry as Quantum ESPRESSO input:
```
&SYSTEM
  ibrav = 0, nat = 16, ntyp = 3
/
ATOMIC_SPECIES
Pm 145.00 Pm.upf
Tm 168.93 Tm.upf
Sn 118.71 Sn.upf
CELL_PARAMETERS angstrom
9.087 0.000 0.000
-4.544 7.870 0.000
0.000 0.000 6.598
ATOMIC_POSITIONS angstrom
Pm -1.098 1.902 1.649
Pm -3.445 5.968 4.948
Pm 2.196 0.000 1.649
Pm 1.098 1.902 4.948
Pm 6.891 0.000 4.948
Pm 3.445 5.968 1.649
Tm 0.000 5.246 0.000
Tm 0.000 5.246 3.299
Tm 4.544 2.623 0.000
Tm 4.544 2.623 3.299
Sn -1.809 3.134 4.948
Sn -2.734 4.736 1.649
Sn 3.619 0.000 4.948
Sn 1.809 3.134 1.649
Sn 5.469 0.000 1.649
Sn 2.734 4.736 4.948
```

Computed properties:
DFT total energy: -5.116 eV per atom
DFT formation energy: -715 meV per atom
Crystal system: hexagonal

No. 8
Material: PmTm3Sn2
Method: DFT, GGA-PBE
State: optimized geometry Values from VASP.

Geometry as Quantum ESPRESSO input:
```
&SYSTEM
  ibrav = 0, nat = 12, ntyp = 3
/
ATOMIC_SPECIES
Pm 145.00 Pm.upf
Tm 168.93 Tm.upf
Sn 118.71 Sn.upf
CELL_PARAMETERS angstrom
8.932 -2.273 0.000
8.932 2.273 0.000
-3.695 0.000 8.657
ATOMIC_POSITIONS angstrom
Pm 1.546 0.000 1.164
Pm 12.624 0.000 7.493
Tm -1.542 0.000 5.967
Tm 5.082 0.000 0.967
Tm 4.475 0.000 4.475
Tm 9.694 0.000 4.181
Tm 9.088 0.000 7.689
Tm 15.711 0.000 2.689
Sn 1.709 0.000 6.164
Sn 8.188 0.000 1.262
Sn 5.981 0.000 7.394
Sn 12.461 0.000 2.492
```

Computed properties:
DFT total energy: -4.844 eV per atom
DFT formation energy: -482 meV per atom
Crystal system: monoclinic

No. 9
Material: Pm4TmSn3
Method: DFT, GGA-PBE
State: optimized geometry Values from VASP.

Geometry as Quantum ESPRESSO input:
```
&SYSTEM
  ibrav = 0, nat = 8, ntyp = 3
/
ATOMIC_SPECIES
Pm 145.00 Pm.upf
Tm 168.93 Tm.upf
Sn 118.71 Sn.upf
CELL_PARAMETERS angstrom
10.186 -2.173 0.000
10.186 2.173 0.000
-0.860 0.000 5.530
ATOMIC_POSITIONS angstrom
Pm 2.345 0.000 0.362
Pm 6.699 0.000 2.263
Pm 12.812 0.000 3.268
Pm 17.166 0.000 5.168
Tm -0.430 0.000 2.765
Sn 4.598 0.000 4.568
Sn 10.186 0.000 0.000
Sn 14.913 0.000 0.962
```

Computed properties:
DFT total energy: -4.900 eV per atom
DFT formation energy: -465 meV per atom
Crystal system: monoclinic

No. 10
Material: Pm8Tm2Sn
Method: DFT, GGA-PBE
State: optimized geometry Values from VASP.

Geometry as Quantum ESPRESSO input:
```
&SYSTEM
  ibrav = 0, nat = 11, ntyp = 3
/
ATOMIC_SPECIES
Pm 145.00 Pm.upf
Tm 168.93 Tm.upf
Sn 118.71 Sn.upf
CELL_PARAMETERS angstrom
9.137 -2.489 0.000
9.137 2.489 0.000
-2.163 0.000 7.765
ATOMIC_POSITIONS angstrom
Pm 0.293 0.000 1.803
Pm 1.035 0.000 5.274
Pm 4.604 0.000 4.603
Pm 7.359 0.000 0.458
Pm 8.753 0.000 7.306
Pm 11.508 0.000 3.162
Pm 15.077 0.000 2.491
Pm 15.819 0.000 5.962
Tm 3.813 0.000 1.027
Tm 12.299 0.000 6.737
Sn 8.056 0.000 3.882
```

Computed properties:
DFT total energy: -4.750 eV per atom
DFT formation energy: -118 meV per atom
Crystal system: monoclinic

No. 11
Material: Pm2TmSn9
Method: DFT, GGA-PBE
State: optimized geometry Values from VASP.

Geometry as Quantum ESPRESSO input:
```
&SYSTEM
  ibrav = 0, nat = 12, ntyp = 3
/
ATOMIC_SPECIES
Pm 145.00 Pm.upf
Tm 168.93 Tm.upf
Sn 118.71 Sn.upf
CELL_PARAMETERS angstrom
4.716 0.000 0.000
0.000 4.716 0.000
0.000 0.000 14.366
ATOMIC_POSITIONS angstrom
Pm 0.000 0.000 2.409
Pm 0.000 0.000 11.957
Tm 0.000 0.000 7.183
Sn 0.000 2.358 0.000
Sn 0.000 2.358 4.853
Sn 0.000 2.358 9.513
Sn 2.358 0.000 0.000
Sn 2.358 0.000 4.853
Sn 2.358 0.000 9.513
Sn 2.358 2.358 2.434
Sn 2.358 2.358 7.183
Sn 2.358 2.358 11.932
```

Computed properties:
DFT total energy: -4.615 eV per atom
DFT formation energy: -448 meV per atom
Crystal system: tetragonal

No. 12
Material: Pm2TmSn2
Method: DFT, GGA-PBE
State: optimized geometry Values from VASP.

Geometry as Quantum ESPRESSO input:
```
&SYSTEM
  ibrav = 0, nat = 10, ntyp = 3
/
ATOMIC_SPECIES
Pm 145.00 Pm.upf
Tm 168.93 Tm.upf
Sn 118.71 Sn.upf
CELL_PARAMETERS angstrom
-2.970 4.540 5.998
2.970 -4.540 5.998
2.970 4.540 -5.998
ATOMIC_POSITIONS angstrom
Pm 0.000 0.759 1.693
Pm 2.970 0.759 4.305
Pm 0.000 3.781 1.693
Pm 2.970 3.781 4.305
Tm 2.970 2.270 -1.642
Tm 0.000 2.270 7.639
Sn 2.970 -2.270 4.758
Sn 2.970 2.270 1.457
Sn 0.000 2.270 4.541
Sn 0.000 6.810 1.240
```

Computed properties:
DFT total energy: -4.760 eV per atom
DFT formation energy: -364 meV per atom
Crystal system: orthorhombic